# 1
{"formula": "PaBiSe3", "functional": "PBE", "state": "optimized geometry", "lattice_angstrom": [[-2.583, -0.415, -3.133], [-2.223, -9.380, 3.074], [-3.747, 8.266, 1.995]], "species": ["Pa", "Pa", "Bi", "Bi", "Se", "Se", "Se", "Se", "Se", "Se"], "frac_coords": [[0.250, 0.283, 0.185], [0.750, 0.717, 0.815], [0.250, 0.853, 0.420], [0.750, 0.147, 0.580], [0.750, 0.560, 0.409], [0.250, 0.440, 0.591], [0.750, 0.287, 0.964], [0.250, 0.909, 0.799], [0.250, 0.713, 0.036], [0.750, 0.091, 0.201]], "sg": "P2_1/m (11)", "e_above_lowest_polymorph_mev_per_atom": 0.0, "dos_at_fermi_per_ev_cell": 4.5}

# 2
{"formula": "Pa2BiSe", "functional": "PBE", "state": "optimized geometry", "lattice_angstrom": [[5.241, 0.000, 0.000], [2.620, 4.539, 0.000], [2.620, 1.513, 4.279]], "species": ["Pa", "Pa", "Bi", "Se"], "frac_coords": [[0.250, 0.250, 0.250], [0.750, 0.750, 0.750], [0.000, 0.000, 0.000], [0.500, 0.500, 0.500]], "sg": "Fm-3m (225)", "e_above_lowest_polymorph_mev_per_atom": 184.1, "dos_at_fermi_per_ev_cell": 10.8}

# 3
{"formula": "PaBi2Se6", "functional": "PBE", "state": "optimized geometry", "lattice_angstrom": [[4.208, 0.000, 0.000], [2.104, 6.749, 0.540], [2.104, 3.327, 10.204]], "species": ["Pa", "Bi", "Bi", "Se", "Se", "Se", "Se", "Se", "Se"], "frac_coords": [[0.000, 0.500, 0.500], [0.202, 0.753, 0.842], [0.798, 0.247, 0.158], [0.624, 0.730, 0.022], [0.376, 0.270, 0.978], [0.988, 0.786, 0.237], [0.358, 0.727, 0.558], [0.012, 0.214, 0.763], [0.642, 0.273, 0.442]], "sg": "C2/m (12)", "dos_at_fermi_per_ev_cell": 4.4}

# 4
{"formula": "PaBiSe4", "functional": "PBE", "state": "optimized geometry", "lattice_angstrom": [[4.215, 0.000, 0.000], [0.000, 6.874, -0.557], [0.000, 0.067, 7.200]], "species": ["Pa", "Bi", "Se", "Se", "Se", "Se"], "frac_coords": [[0.000, 0.000, 0.000], [0.500, 0.000, 0.500], [0.000, 0.230, 0.702], [0.500, 0.775, 0.835], [0.500, 0.225, 0.165], [0.000, 0.770, 0.298]], "sg": "P2/m (10)", "e_above_lowest_polymorph_mev_per_atom": 0.0}

# 5
{"formula": "Pa2BiSe", "functional": "PBE", "state": "optimized geometry", "lattice_angstrom": [[4.270, 0.000, 0.000], [2.135, 3.698, 0.000], [2.135, 1.233, 6.933]], "species": ["Pa", "Pa", "Bi", "Se"], "frac_coords": [[0.264, 0.264, 0.208], [0.736, 0.736, 0.792], [0.500, 0.500, 0.500], [0.000, 0.000, 0.000]], "sg": "R-3m (166)", "e_above_lowest_polymorph_mev_per_atom": 0.0, "dos_at_fermi_per_ev_cell": 7.6}

# 6
{"formula": "Pa3BiSe3", "functional": "PBE", "state": "optimized geometry", "lattice_angstrom": [[7.808, 0.000, 0.000], [3.904, 6.762, 0.000], [3.904, 2.254, 7.538]], "species": ["Pa", "Pa", "Pa", "Pa", "Pa", "Pa", "Bi", "Bi", "Se", "Se", "Se", "Se", "Se", "Se"], "frac_coords": [[0.213, 0.650, 0.226], [0.912, 0.213, 0.226], [0.650, 0.912, 0.226], [0.350, 0.088, 0.774], [0.088, 0.787, 0.774], [0.787, 0.350, 0.774], [0.334, 0.334, 0.999], [0.666, 0.666, 0.001], [0.511, 0.758, 0.630], [0.758, 0.100, 0.630], [0.100, 0.511, 0.630], [0.900, 0.489, 0.370], [0.242, 0.900, 0.370], [0.489, 0.242, 0.370]], "sg": "R-3 (148)", "dos_at_fermi_per_ev_cell": 20.7}

Values of theoretical density, in order: 7.898; 12.237; 6.606; 6.012; 11.379; 9.504, all in g cm⁻³.
Values of formation energy (no corrections), in order: -0.952; -0.463; -0.547; -0.945; -0.647; -0.654, all in eV/atom.